The following is a DFT calculation (PBE with a Hubbard U) of a geometry-optimized VCoO structure.

Geometry as POSCAR:
```
VCoO
1.0
2.868 0.000 0.000
-1.434 2.484 0.000
0.000 0.000 5.269
V Co O
1 1 1
direct
0.333 0.667 0.037 V
0.000 0.000 0.627 Co
0.000 0.000 0.253 O
```

The size of the total moment comes out at 4.2 μB/f.u. The volume comes out at 12.52 Å³/atom. As for the calculated total energy: -6.24 eV/atom.